# 1
Material: LiP2PdO
Method: DFT, GGA-PBE
State: relaxed

Formation energy (no corrections) ... 0.367 eV per atom
D(E_F) ... 3.05 states/eV per cell
Calculated volume ... 18.150 A^3/atom

Lattice parameters (Å, degrees): 4.8179 4.8179 3.9097 90.00 90.00 90.00
Space group P4/mmm (No. 123)
Asymmetric unit:
Li  0.0000  0.0000  0.0000 [1 per cell]
P  0.0000  0.5000  0.5000 [2 per cell]
Pd  0.5000  0.5000  0.5000 [1 per cell]
O  0.5000  0.5000  0.0000 [1 per cell]

=====

# 2
Material: LiP2PdO
Method: DFT, GGA-PBE
State: relaxed

Formation energy (no corrections) ... 0.398 eV per atom
D(E_F) ... 3.08 states/eV per cell
Calculated volume ... 13.554 A^3/atom

Lattice parameters (Å, degrees): 4.5373 4.5373 3.2919 90.00 90.00 90.00
Space group P4/mmm (No. 123)
Asymmetric unit:
Li  0.0000  0.0000  0.0000 [1 per cell]
P  0.0000  0.5000  0.0000 [2 per cell]
Pd  0.5000  0.5000  0.5000 [1 per cell]
O  0.0000  0.0000  0.5000 [1 per cell]